Material: Rb2MoPdF6
Method: DFT, PBE with a Hubbard U
State: relaxed

Calculated values
- M_tot: 2.000 Bohr magnetons per cell
- Energy: -4.79 eV per atom

Cell lengths 6.542, 6.542, 6.322 Å; angles 58.84, 58.84, 90.00 degrees
Site moments in Bohr magnetons follow the coordinates.
Atoms (fractional coordinates):
F1 0.726 0.274 0.000  0.01
F2 0.274 0.726 0.000  0.01
F3 0.745 0.745 0.511  -0.01
F4 0.274 0.274 0.000  0.01
F5 0.726 0.726 0.000  0.01
Mo1 0.500 0.500 0.000  2.74
Rb1 0.750 0.250 0.500  0.00
F6 0.255 0.255 0.489  -0.01
Rb2 0.250 0.750 0.500  0.00
Pd1 0.000 0.000 0.000  -0.86